NaYHgSe3, relaxed, DFT PBE; crystal system = monoclinic; SG = No. 12; total magnetization = 0.0 μB/cell; calculated volume = 26.97 A^3/atom; relative energy among the computed polymorphs = 35.9 meV/atom
1.0
9.118 -2.054 0.000
9.118 2.054 0.000
-2.258 0.000 8.641
Hg Na Se Y
2 2 6 2
Direct
0.529 0.529 0.226 Hg
0.471 0.471 0.774 Hg
0.870 0.870 0.420 Na
0.130 0.130 0.580 Na
0.000 0.000 0.000 Se
0.335 0.335 0.134 Se
0.682 0.682 0.324 Se
0.500 0.500 0.500 Se
0.318 0.318 0.676 Se
0.665 0.665 0.866 Se
0.178 0.178 0.096 Y
0.822 0.822 0.904 Y